A geometry-optimized PRu2Br structure, computed with PBE-GGA.

Its energy above the lowest structure with this stoichiometry is 1.35 eV/f.u. The calculated total energy is -6.176 eV per atom. The value obtained for the uncorrected formation energy is 0.233 eV/atom.

The space group is P4/mmm (No. 123) and the conventional cell measures 2.983, 2.983 and 6.806 Å, with angles of 90.00, 90.00 and 90.00 degrees. The inequivalent atoms are P at (0.000, 0.000, 0.000), Ru at (0.500, 0.500, 0.195) and Br at (0.000, 0.000, 0.500).